The following is a DFT calculation (GGA-PBE) of a geometry-optimized MgTi structure.

## Properties
formation energy from the elements: 174 meV/atom

Cell and atoms, written as POSCAR:
```
MgTi
1.0
4.7916 0.0000 0.0000
0.0000 12.1216 0.0000
0.0000 0.0000 5.4353
Mg Ti
8 8
direct
0.2500 0.0020 0.1679 Mg
0.2500 0.1312 0.6817 Mg
0.2500 0.3688 0.6817 Mg
0.2500 0.4980 0.1679 Mg
0.7500 0.5020 0.8321 Mg
0.7500 0.6312 0.3183 Mg
0.7500 0.8688 0.3183 Mg
0.7500 0.9980 0.8321 Mg
0.2500 0.2500 0.1921 Ti
0.2500 0.6438 0.6528 Ti
0.2500 0.7500 0.0994 Ti
0.2500 0.8562 0.6528 Ti
0.7500 0.1438 0.3472 Ti
0.7500 0.2500 0.9006 Ti
0.7500 0.3562 0.3472 Ti
0.7500 0.7500 0.8079 Ti
```

The following is a DFT calculation (GGA-PBE) of a geometry-optimized BaAl2GaIr structure.

## Properties
formation energy from the elements: -476 meV/atom

Cell and atoms, written as POSCAR:
```
BaAl2GaIr
1.0
4.8543 0.0000 0.0000
0.0000 4.8543 0.0000
0.0000 0.0000 4.9016
Ba Al Ga Ir
1 2 1 1
direct
0.0000 0.0000 0.0000 Ba
0.0000 0.5000 0.5000 Al
0.5000 0.0000 0.5000 Al
0.5000 0.5000 0.0000 Ga
0.5000 0.5000 0.5000 Ir
```

The following is a DFT calculation (GGA-PBE) of a geometry-optimized KSr2P structure.

## Properties
formation energy from the elements: -422 meV/atom

Cell and atoms, written as POSCAR:
```
KSr2P
1.0
-2.0543 3.0977 7.0712
2.0543 -3.0977 7.0712
2.0543 3.0977 -7.0712
K Sr P
1 2 1
direct
0.0000 0.0000 0.0000 K
0.3498 0.8498 0.5000 Sr
0.6502 0.1502 0.5000 Sr
0.5000 0.5000 0.0000 P
```

The following is a DFT calculation (GGA-PBE) of a geometry-optimized SrNiTe2 structure.

## Properties
energy relative to the elements, uncorrected: -671 meV per atom

Cell and atoms, written as POSCAR:
```
SrNiTe2
1.0
4.7055 0.0000 0.0000
0.0000 4.2294 0.0000
-2.3109 0.0000 6.3607
Sr Ni Te
1 1 2
direct
0.0000 0.0000 0.0000 Sr
0.6023 0.5000 0.2088 Ni
0.4137 0.5000 0.8242 Te
0.6971 0.0000 0.4033 Te
```

| no. | M_tot (μB/cell) | uncorrected energy (eV per atom) | density (g cm⁻³) |
| --- | --- | --- | --- |
| 1 | 2.37 | -4.571 | 3.037 |
| 2 | 0.00 | -4.735 | 6.516 |
| 3 | 0.00 | -2.890 | 2.263 |
| 4 | 0.00 | -4.108 | 5.267 |